Record 1
First-principles (PBE) data for a relaxed structure of Tb2CeDy5Th, as listed in the Alexandria database.

Unit cell a=11.0368 b=11.0368 c=9.6956 alpha=90.00 beta=90.00 gamma=150.05
With the nearest neighbours (Å) after each atom.
Fractional positions:
1 Tb 0.1153 0.8847 0.5000  8 Dy 3.31-3.53, 1 Ce 3.37
2 Tb 0.1293 0.8707 0.8877  1 Ce 3.24, 3 Dy 3.36-3.61, 2 Th 3.57
3 Tb 0.8707 0.1293 0.3877  1 Ce 3.24, 3 Dy 3.36-3.61, 2 Th 3.57
4 Tb 0.8847 0.1153 0.0000  8 Dy 3.31-3.53, 1 Ce 3.37
5 Ce 0.1904 0.8096 0.1937  2 Tb 3.24-3.37, 5 Dy 3.38-3.52
6 Ce 0.8096 0.1904 0.6937  2 Tb 3.24-3.37, 5 Dy 3.38-3.52
7 Dy 0.0139 0.9861 0.1888  2 Tb 3.31-3.61, 2 Th 3.44, 2 Dy 3.60
8 Dy 0.2704 0.7296 0.4984  1 Th 3.05, 1 Tb 3.31, 1 Ce 3.41
9 Dy 0.3033 0.6967 0.8806  2 Ce 3.38, 5 Dy 3.45-3.77, 3 Tb 3.53-3.71, 1 Th 3.53
10 Dy 0.3957 0.6043 0.2126  2 Dy 3.30-3.47, 4 Tb 3.36-3.53
11 Dy 0.4695 0.5305 0.9129  2 Th 3.18-3.36, 3 Dy 3.30-3.56, 2 Tb 3.48
12 Dy 0.5305 0.4695 0.4129  2 Th 3.18-3.36, 3 Dy 3.30-3.56, 2 Tb 3.48
13 Dy 0.6043 0.3957 0.7126  2 Dy 3.30-3.47, 4 Tb 3.36-3.53
14 Dy 0.6967 0.3033 0.3806  2 Ce 3.38, 5 Dy 3.45-3.77, 3 Tb 3.53-3.71, 1 Th 3.53
15 Dy 0.7296 0.2704 0.9984  1 Th 3.05, 1 Tb 3.31, 1 Ce 3.41
16 Dy 0.9861 0.0139 0.6888  2 Tb 3.31-3.61, 2 Th 3.44, 2 Dy 3.60
17 Th 0.4064 0.5936 0.5953  3 Dy 3.05-3.36
18 Th 0.5936 0.4064 0.0953  3 Dy 3.05-3.36

The formation energy comes out at 0.1840 eV per atom. As for the space-group type: Cmc2_1, No. 36. The value obtained for the total magnetization is 0.075 μB/atom.

***

Record 2
First-principles (PBE) data for a relaxed structure of Tb3CeDy6Th2, as listed in the Alexandria database.

Unit cell a=6.1499 b=6.1499 c=11.7170 alpha=95.03 beta=95.03 gamma=119.98
With the nearest neighbours (Å) after each atom.
Fractional positions:
1 Tb 0.0000 0.0000 0.0000  6 Tb 3.55, 6 Dy 3.57
2 Tb 0.3332 0.6668 0.0000  6 Tb 3.55, 6 Dy 3.57-3.58
3 Tb 0.6668 0.3332 0.0000  6 Tb 3.55, 6 Dy 3.57-3.58
4 Ce 0.5000 0.5000 0.5000  6 Dy 3.51, 6 Th 3.55
5 Dy 0.0831 0.4174 0.2538  2 Th 3.50, 1 Ce 3.51, 6 Dy 3.54-3.56, 3 Tb 3.57-3.58
6 Dy 0.2483 0.2483 0.7463  2 Th 3.50, 1 Ce 3.51, 6 Dy 3.54-3.56, 3 Tb 3.57
7 Dy 0.4174 0.0831 0.2538  2 Th 3.50, 1 Ce 3.51, 6 Dy 3.54-3.56, 3 Tb 3.57-3.58
8 Dy 0.5826 0.9169 0.7462  2 Th 3.50, 1 Ce 3.51, 6 Dy 3.54-3.56, 3 Tb 3.57-3.58
9 Dy 0.7517 0.7517 0.2537  2 Th 3.50, 1 Ce 3.51, 6 Dy 3.54-3.56, 3 Tb 3.57
10 Dy 0.9169 0.5826 0.7462  2 Th 3.50, 1 Ce 3.51, 6 Dy 3.54-3.56, 3 Tb 3.57-3.58
11 Th 0.1667 0.8333 0.5000  6 Dy 3.50, 3 Ce 3.55, 3 Th 3.55
12 Th 0.8333 0.1667 0.5000  6 Dy 3.50, 3 Ce 3.55, 3 Th 3.55

The formation energy comes out at 0.0304 eV per atom. As for the space-group type: C2/m, No. 12. The value obtained for the total magnetization is 0.044 μB/atom.

***

Record 3
First-principles (PBE) data for a relaxed structure of Tb2CeDy4Th, as listed in the Alexandria database.

Unit cell a=5.0345 b=5.0551 c=9.9762 alpha=90.00 beta=90.00 gamma=90.00
With the nearest neighbours (Å) after each atom.
Fractional positions:
1 Tb 0.0000 0.0000 0.0000  8 Dy 3.53-3.54, 4 Th 3.57
2 Tb 0.5000 0.5000 0.5000  8 Dy 3.55-3.56, 4 Ce 3.57
3 Ce 0.0000 0.0000 0.5000  8 Dy 3.55-3.56, 4 Tb 3.57
4 Dy 0.0000 0.5000 0.2491  2 Th 3.54, 4 Tb 3.54-3.55, 2 Ce 3.56, 4 Dy 3.57
5 Dy 0.0000 0.5000 0.7509  2 Th 3.54, 4 Tb 3.54-3.55, 2 Ce 3.56, 4 Dy 3.57
6 Dy 0.5000 0.0000 0.2485  4 Tb 3.53-3.56, 2 Th 3.54, 2 Ce 3.55, 4 Dy 3.57
7 Dy 0.5000 0.0000 0.7515  4 Tb 3.53-3.56, 2 Th 3.54, 2 Ce 3.55, 4 Dy 3.57
8 Th 0.5000 0.5000 0.0000  8 Dy 3.54, 4 Tb 3.57

The formation energy comes out at 0.0646 eV per atom. As for the space-group type: Pmmm, No. 47. The value obtained for the total magnetization is 0.143 μB/atom.

***

Record 4
First-principles (PBE) data for a relaxed structure of Tb5CeDy2Th, as listed in the Alexandria database.

Unit cell a=11.0392 b=11.0392 c=9.7282 alpha=90.00 beta=90.00 gamma=150.01
With the nearest neighbours (Å) after each atom.
Fractional positions:
1 Tb 0.0141 0.9859 0.5000  2 Dy 3.32-3.60, 2 Th 3.44, 2 Tb 3.61
2 Tb 0.2709 0.7291 0.8082  1 Th 3.05, 1 Dy 3.31
3 Tb 0.3027 0.6973 0.1906  2 Ce 3.38, 4 Tb 3.45-3.78, 1 Th 3.55, 3 Dy 3.55-3.72
4 Tb 0.3958 0.6042 0.5234  2 Tb 3.31-3.48, 4 Dy 3.37-3.53
5 Tb 0.4693 0.5307 0.2238  2 Th 3.18-3.37, 2 Tb 3.31-3.48, 2 Dy 3.49
6 Tb 0.5307 0.4693 0.7238  2 Th 3.18-3.37, 2 Tb 3.31-3.48, 2 Dy 3.49
7 Tb 0.6042 0.3958 0.0234  2 Tb 3.31-3.48, 4 Dy 3.37-3.53
8 Tb 0.6973 0.3027 0.6906  2 Ce 3.38, 4 Tb 3.45-3.78, 1 Th 3.55, 3 Dy 3.55-3.72
9 Tb 0.7291 0.2709 0.3082  1 Th 3.05, 1 Dy 3.31
10 Tb 0.9859 0.0141 0.0000  2 Dy 3.32-3.60, 2 Th 3.44, 2 Tb 3.61
11 Ce 0.1902 0.8098 0.5050  2 Dy 3.25-3.38, 5 Tb 3.38-3.54
12 Ce 0.8098 0.1902 0.0050  2 Dy 3.25-3.38, 5 Tb 3.38-3.54
13 Dy 0.1156 0.8844 0.8119  8 Tb 3.31-3.55, 1 Ce 3.38
14 Dy 0.1282 0.8718 0.1994  1 Ce 3.25, 3 Tb 3.37-3.60, 2 Th 3.57
15 Dy 0.8718 0.1282 0.6994  1 Ce 3.25, 3 Tb 3.37-3.60, 2 Th 3.57
16 Dy 0.8844 0.1156 0.3119  8 Tb 3.31-3.55, 1 Ce 3.38
17 Th 0.4067 0.5933 0.9061  3 Tb 3.05-3.37
18 Th 0.5933 0.4067 0.4061  3 Tb 3.05-3.37

The formation energy comes out at 0.1828 eV per atom. As for the space-group type: Cmc2_1, No. 36. The value obtained for the total magnetization is 0.077 μB/atom.

***

Record 5
First-principles (PBE) data for a relaxed structure of Tb6Ce2Dy3Th, as listed in the Alexandria database.

Unit cell a=6.1335 b=6.1335 c=11.7498 alpha=95.00 beta=95.00 gamma=119.99
With the nearest neighbours (Å) after each atom.
Fractional positions:
1 Tb 0.0828 0.4152 0.2471  1 Th 3.51, 2 Ce 3.52, 6 Tb 3.53-3.55, 3 Dy 3.57
2 Tb 0.2495 0.2495 0.7531  1 Th 3.51, 2 Ce 3.52, 6 Tb 3.53-3.55, 3 Dy 3.57-3.58
3 Tb 0.4152 0.0828 0.2471  1 Th 3.51, 2 Ce 3.52, 6 Tb 3.53-3.55, 3 Dy 3.57
4 Tb 0.5848 0.9172 0.7529  1 Th 3.51, 2 Ce 3.52, 6 Tb 3.53-3.55, 3 Dy 3.57
5 Tb 0.7505 0.7505 0.2469  1 Th 3.51, 2 Ce 3.52, 6 Tb 3.53-3.55, 3 Dy 3.57-3.58
6 Tb 0.9172 0.5848 0.7529  1 Th 3.51, 2 Ce 3.52, 6 Tb 3.53-3.55, 3 Dy 3.57
7 Ce 0.3333 0.6667 0.0000  6 Tb 3.52, 3 Th 3.54, 3 Ce 3.54
8 Ce 0.6667 0.3333 0.0000  6 Tb 3.52, 3 Th 3.54, 3 Ce 3.54
9 Dy 0.1668 0.8332 0.5000  6 Dy 3.54, 6 Tb 3.57
10 Dy 0.5000 0.5000 0.5000  6 Dy 3.54, 6 Tb 3.57-3.58
11 Dy 0.8332 0.1668 0.5000  6 Dy 3.54, 6 Tb 3.57
12 Th 0.0000 0.0000 0.0000  6 Tb 3.51, 6 Ce 3.54

The formation energy comes out at 0.0430 eV per atom. As for the space-group type: C2/m, No. 12. The value obtained for the total magnetization is 0.103 μB/atom.

***

Record 6
First-principles (PBE) data for a relaxed structure of Tb6CeDy3Th2, as listed in the Alexandria database.

Unit cell a=6.1561 b=6.1561 c=11.7553 alpha=95.02 beta=95.02 gamma=119.98
With the nearest neighbours (Å) after each atom.
Fractional positions:
1 Tb 0.0831 0.4175 0.7533  2 Th 3.51, 1 Ce 3.52, 6 Tb 3.55-3.57, 3 Dy 3.57-3.58
2 Tb 0.2483 0.2483 0.2469  2 Th 3.52, 1 Ce 3.52, 6 Tb 3.55-3.57, 3 Dy 3.58
3 Tb 0.4175 0.0831 0.7533  2 Th 3.51, 1 Ce 3.52, 6 Tb 3.55-3.57, 3 Dy 3.57-3.58
4 Tb 0.5825 0.9169 0.2467  2 Th 3.51, 1 Ce 3.52, 6 Tb 3.55-3.57, 3 Dy 3.57-3.58
5 Tb 0.7517 0.7517 0.7531  2 Th 3.52, 1 Ce 3.52, 6 Tb 3.55-3.57, 3 Dy 3.58
6 Tb 0.9169 0.5825 0.2467  2 Th 3.51, 1 Ce 3.52, 6 Tb 3.55-3.57, 3 Dy 3.57-3.58
7 Ce 0.5000 0.5000 0.0000  6 Tb 3.52, 6 Th 3.55
8 Dy 0.0000 0.0000 0.5000  6 Dy 3.55-3.56, 6 Tb 3.58
9 Dy 0.3333 0.6667 0.5000  6 Dy 3.55-3.56, 6 Tb 3.57-3.58
10 Dy 0.6667 0.3333 0.5000  6 Dy 3.55-3.56, 6 Tb 3.57-3.58
11 Th 0.1666 0.8334 0.0000  6 Tb 3.51-3.52, 3 Th 3.55-3.56, 3 Ce 3.55
12 Th 0.8334 0.1666 0.0000  6 Tb 3.51-3.52, 3 Th 3.55-3.56, 3 Ce 3.55

The formation energy comes out at 0.0328 eV per atom. As for the space-group type: C2/m, No. 12. The value obtained for the total magnetization is 0.043 μB/atom.

***

Record 7
First-principles (PBE) data for a relaxed structure of TbCeDy2Tl4, as listed in the Alexandria database.

Unit cell a=9.4074 b=9.4074 c=9.4074 alpha=33.39 beta=33.39 gamma=33.39
With the nearest neighbours (Å) after each atom.
Fractional positions:
1 Tb 0.0000 0.0000 0.0000  8 Tl 3.29-3.30
2 Ce 0.5000 0.5000 0.5000  8 Tl 3.32-3.36
3 Dy 0.2506 0.2506 0.2506  8 Tl 3.29-3.38
4 Dy 0.7494 0.7494 0.7494  8 Tl 3.29-3.38
5 Tl 0.1237 0.1237 0.1237  1 Tb 3.29, 4 Dy 3.30-3.38, 3 Ce 3.32
6 Tl 0.3740 0.3740 0.3740  4 Dy 3.29-3.32, 3 Tb 3.30, 1 Ce 3.36
7 Tl 0.6260 0.6260 0.6260  4 Dy 3.29-3.32, 3 Tb 3.30, 1 Ce 3.36
8 Tl 0.8763 0.8763 0.8763  1 Tb 3.29, 4 Dy 3.30-3.38, 3 Ce 3.32

The formation energy comes out at -0.3093 eV per atom. As for the space-group type: R-3m, No. 166. The value obtained for the total magnetization is 0.129 μB/atom.

***

Record 8
First-principles (PBE) data for a relaxed structure of Tb2CeDyTl4, as listed in the Alexandria database.

Unit cell a=9.4203 b=9.4203 c=9.4203 alpha=33.37 beta=33.37 gamma=33.37
With the nearest neighbours (Å) after each atom.
Fractional positions:
1 Tb 0.2493 0.2493 0.2493  8 Tl 3.28-3.39
2 Tb 0.7507 0.7507 0.7507  8 Tl 3.28-3.39
3 Ce 0.0000 0.0000 0.0000  8 Tl 3.33-3.36
4 Dy 0.5000 0.5000 0.5000  8 Tl 3.29-3.30
5 Tl 0.1262 0.1262 0.1262  4 Tb 3.28-3.32, 3 Dy 3.30, 1 Ce 3.36
6 Tl 0.3765 0.3765 0.3765  1 Dy 3.29, 4 Tb 3.31-3.39, 3 Ce 3.33
7 Tl 0.6235 0.6235 0.6235  1 Dy 3.29, 4 Tb 3.31-3.39, 3 Ce 3.33
8 Tl 0.8738 0.8738 0.8738  4 Tb 3.28-3.32, 3 Dy 3.30, 1 Ce 3.36

The formation energy comes out at -0.3109 eV per atom. As for the space-group type: R-3m, No. 166. The value obtained for the total magnetization is 0.128 μB/atom.

***

What did the fourth record say?
First-principles (PBE) data for a relaxed structure of Tb5CeDy2Th, as listed in the Alexandria database.

Unit cell a=11.0392 b=11.0392 c=9.7282 alpha=90.00 beta=90.00 gamma=150.01
With the nearest neighbours (Å) after each atom.
Fractional positions:
1 Tb 0.0141 0.9859 0.5000  2 Dy 3.32-3.60, 2 Th 3.44, 2 Tb 3.61
2 Tb 0.2709 0.7291 0.8082  1 Th 3.05, 1 Dy 3.31
3 Tb 0.3027 0.6973 0.1906  2 Ce 3.38, 4 Tb 3.45-3.78, 1 Th 3.55, 3 Dy 3.55-3.72
4 Tb 0.3958 0.6042 0.5234  2 Tb 3.31-3.48, 4 Dy 3.37-3.53
5 Tb 0.4693 0.5307 0.2238  2 Th 3.18-3.37, 2 Tb 3.31-3.48, 2 Dy 3.49
6 Tb 0.5307 0.4693 0.7238  2 Th 3.18-3.37, 2 Tb 3.31-3.48, 2 Dy 3.49
7 Tb 0.6042 0.3958 0.0234  2 Tb 3.31-3.48, 4 Dy 3.37-3.53
8 Tb 0.6973 0.3027 0.6906  2 Ce 3.38, 4 Tb 3.45-3.78, 1 Th 3.55, 3 Dy 3.55-3.72
9 Tb 0.7291 0.2709 0.3082  1 Th 3.05, 1 Dy 3.31
10 Tb 0.9859 0.0141 0.0000  2 Dy 3.32-3.60, 2 Th 3.44, 2 Tb 3.61
11 Ce 0.1902 0.8098 0.5050  2 Dy 3.25-3.38, 5 Tb 3.38-3.54
12 Ce 0.8098 0.1902 0.0050  2 Dy 3.25-3.38, 5 Tb 3.38-3.54
13 Dy 0.1156 0.8844 0.8119  8 Tb 3.31-3.55, 1 Ce 3.38
14 Dy 0.1282 0.8718 0.1994  1 Ce 3.25, 3 Tb 3.37-3.60, 2 Th 3.57
15 Dy 0.8718 0.1282 0.6994  1 Ce 3.25, 3 Tb 3.37-3.60, 2 Th 3.57
16 Dy 0.8844 0.1156 0.3119  8 Tb 3.31-3.55, 1 Ce 3.38
17 Th 0.4067 0.5933 0.9061  3 Tb 3.05-3.37
18 Th 0.5933 0.4067 0.4061  3 Tb 3.05-3.37

The formation energy comes out at 0.1828 eV per atom. As for the space-group type: Cmc2_1, No. 36. The value obtained for the total magnetization is 0.077 μB/atom.